A plane-wave DFT calculation with PBE was carried out for an optimized crystal structure of CdReNi2Cl. Values from VASP.

```
&SYSTEM
  ibrav = 0, nat = 5, ntyp = 4
/
ATOMIC_SPECIES
Cd 112.41 Cd.upf
Re 186.21 Re.upf
Ni 58.69 Ni.upf
Cl 35.45 Cl.upf
CELL_PARAMETERS angstrom
4.769 0.000 0.000
0.000 4.769 0.000
0.000 0.000 5.212
ATOMIC_POSITIONS angstrom
Cd 0.000 0.000 0.000
Re 0.000 0.000 2.606
Ni 0.000 2.385 0.000
Ni 2.385 0.000 0.000
Cl 2.385 2.385 2.606
```

Summary:
Energy ... -3.413 eV/atom
Spin magnetization ... 4.8 μB per formula unit
Formation energy without anion corrections ... 1.942 eV/atom
Symmetry ... P4/mmm, No. 123
V ... 118.5 Å³/f.u.



A plane-wave DFT calculation with PBE was carried out for an optimized crystal structure of In2SnBiTe4. Values from VASP.

```
&SYSTEM
  ibrav = 0, nat = 8, ntyp = 4
/
ATOMIC_SPECIES
In 114.82 In.upf
Sn 118.71 Sn.upf
Bi 208.98 Bi.upf
Te 127.60 Te.upf
CELL_PARAMETERS angstrom
7.824 0.000 0.000
0.000 4.505 0.000
-2.609 0.000 7.457
ATOMIC_POSITIONS angstrom
In 0.000 0.000 0.000
In 3.912 2.253 0.000
Sn -1.305 2.253 3.729
Bi 2.607 0.000 3.729
Te 0.001 0.000 5.574
Te 1.301 2.253 1.891
Te 3.914 2.253 5.566
Te 5.213 0.000 1.883
```

Summary:
Energy ... -3.507 eV/atom
Spin magnetization ... 0.0 μB per formula unit
Formation energy without anion corrections ... -0.266 eV/atom
Symmetry ... P2/m, No. 10
V ... 262.8 Å³/f.u.